(1)
Below is an optimized crystal structure of ZrMn2Bi2, with properties calculated at the PBE level.

Unit cell a=3.8727 b=3.8727 c=14.8533 alpha=90.00 beta=90.00 gamma=90.00
With the nearest neighbours (Å) after each atom.
Space group I4/mmm (No. 139)
One atom of each set of equivalent atoms:
Zr 0.0000 0.0000 0.0000  8 Bi 3.19
Mn 0.0000 0.5000 0.2500  4 Mn 2.74, 4 Bi 2.84
Bi 0.0000 0.0000 0.3900  4 Mn 2.84

Its magnetization is 1.385 μB per atom. The density of states at the Fermi level is 8.59 states/eV per cell. As for the calculated formation energy: 0.287 eV per atom. Its relative energy among the computed polymorphs is 0.000 eV per atom. For the total DFT energy (no corrections), the calculation gives -66.4 eV for the cell shown.

=====

(2)
Below is an optimized crystal structure of NaSrIO4, with properties calculated at the PBE level.

Unit cell a=6.0870 b=6.0139 c=7.0925 alpha=90.00 beta=112.84 gamma=90.00
With the nearest neighbours (Å) after each atom.
Space group P2_1/m (No. 11)
One atom of each set of equivalent atoms:
Na 0.1227 0.2500 0.2006  4 O 2.21-2.47
Sr 0.2620 0.7500 0.5392  6 O 2.50-2.73
I 0.4691 0.2500 0.8330  4 O 1.86-2.03
O 0.1803 0.2500 0.5648  1 I 2.03
O 0.2685 0.7500 0.8976  1 I 1.96
O 0.3931 0.5250 0.2648  1 I 1.86

Its magnetization is 0.000 μB per atom. Its energy relative to the elements, uncorrected is -1.457 eV per atom. The density of states at the Fermi level is 0.00 states/eV per cell. For the total DFT energy (no corrections), the calculation gives -69.2 eV for the cell shown.

=====

(3)
Below is an optimized crystal structure of NaIn8, with properties calculated at the PBE level.

Unit cell a=9.7356 b=9.7356 c=5.1159 alpha=90.00 beta=90.00 gamma=90.00
With the nearest neighbours (Å) after each atom.
Space group I4/mmm (No. 139)
One atom of each set of equivalent atoms:
Na 0.0000 0.0000 0.0000  12 In 3.27-3.45
In 0.0000 0.3355 0.0000  11 In 3.20-3.45, 1 Na 3.27
In 0.1685 0.1685 0.5000  10 In 3.23-3.45, 2 Na 3.45

Its magnetization is 0.000 μB per atom. The density of states at the Fermi level is 7.94 states/eV per cell. As for the calculated formation energy: -0.025 eV per atom. For the total DFT energy (no corrections), the calculation gives -46.9 eV for the cell shown.

=====

(4)
Below is an optimized crystal structure of AcPmPd2, with properties calculated at the PBE level.

Unit cell a=3.7246 b=3.7246 c=7.3124 alpha=90.00 beta=90.00 gamma=90.00
With the nearest neighbours (Å) after each atom.
Space group P4/mmm (No. 123)
One atom of each set of equivalent atoms:
Ac 0.0000 0.0000 0.0000  8 Pd 3.31, 2 Pm 3.66
Pm 0.0000 0.0000 0.5000  8 Pd 3.11
Pd 0.5000 0.5000 0.2748  4 Pm 3.11, 1 Pd 3.29, 4 Ac 3.31

Its magnetization is 0.000 μB per atom. The density of states at the Fermi level is 3.95 states/eV per cell. As for the calculated formation energy: -0.724 eV per atom. Its relative energy among the computed polymorphs is 0.082 eV per atom. For the total DFT energy (no corrections), the calculation gives -22.1 eV for the cell shown.

=====

> Which value of magnetization does entry 1 give?

1.385 μB per atom

=====

> Number 1 is which compound?

ZrMn2Bi2

=====

Copy entry 1 word for word.
Below is an optimized crystal structure of ZrMn2Bi2, with properties calculated at the PBE level.

Unit cell a=3.8727 b=3.8727 c=14.8533 alpha=90.00 beta=90.00 gamma=90.00
With the nearest neighbours (Å) after each atom.
Space group I4/mmm (No. 139)
One atom of each set of equivalent atoms:
Zr 0.0000 0.0000 0.0000  8 Bi 3.19
Mn 0.0000 0.5000 0.2500  4 Mn 2.74, 4 Bi 2.84
Bi 0.0000 0.0000 0.3900  4 Mn 2.84

Its magnetization is 1.385 μB per atom. The density of states at the Fermi level is 8.59 states/eV per cell. As for the calculated formation energy: 0.287 eV per atom. Its relative energy among the computed polymorphs is 0.000 eV per atom. For the total DFT energy (no corrections), the calculation gives -66.4 eV for the cell shown.